(1)
Below is crystalline Al2RePdRh at its relaxed geometry, with properties calculated at the PBE level.

Output
M_tot, μB/cell: 0.00

Lattice parameters (Å, degrees): 4.724 4.724 4.626 90.00 90.00 90.00
Space group P4/mmm (No. 123)
Symmetry-distinct sites (fractional):
Al1 0.000 0.500 0.000 x2
Re1 0.000 0.000 0.000 x1
Pd1 0.500 0.500 0.500 x1
Rh1 0.000 0.000 0.500 x1



(2)
Below is crystalline La2NdIr9 at its relaxed geometry, with properties calculated at the PBE level.

Output
M_tot, μB/cell: 0.00

Lattice parameters (Å, degrees): 5.3913 5.3913 26.7619 90.00 90.00 120.00
Space group R-3m (No. 166, hexagonal axes)
Symmetry-distinct sites (fractional):
La1 0.0000 0.0000 0.1396 x6
Nd1 0.0000 0.0000 0.0000 x3
Ir1 0.0000 0.0000 0.3318 x6
Ir2 0.0000 0.0000 0.5000 x3
Ir3 0.0041 0.5020 0.0800 x18



(3)
Below is crystalline Dy6Ho16Th7 at its relaxed geometry, with properties calculated at the PBE level.

Output
M_tot, μB/cell: 0.00

Lattice parameters (Å, degrees): 15.854 15.854 15.854 90.00 90.00 90.00
Space group Fm-3m (No. 225)
Symmetry-distinct sites (fractional):
Dy1 0.000 0.000 0.247 x24
Ho1 0.130 0.130 0.370 x32
Ho2 0.153 0.153 0.153 x32
Th1 0.000 0.000 0.500 x4
Th2 0.000 0.250 0.250 x24



| no. | formation enthalpy at 0 K (eV per atom) | calculated density (Mg/m³) |
| --- | --- | --- |
| 1 | 0.7750 | 7.2 |
| 2 | -0.5200 | 15.9 |
| 3 | 0.2774 | 8.7 |